[1]
# Nd2B2Rh5Au

A relaxed structure of Nd2B2Rh5Au (GGA-PBE, Alexandria).

Unit cell a=9.755 b=9.755 c=3.276 alpha=90.00 beta=90.00 gamma=90.00
Fractional coordinates of all 20 atoms:
Nd (0.178, 0.322, 0.000)
Nd (0.322, 0.822, 0.000)
Nd (0.678, 0.178, 0.000)
Nd (0.822, 0.678, 0.000)
B (0.121, 0.621, 0.000)
B (0.379, 0.121, 0.000)
B (0.621, 0.879, 0.000)
B (0.879, 0.379, 0.000)
Rh (0.000, 0.500, 0.500)
Rh (0.070, 0.771, 0.500)
Rh (0.229, 0.070, 0.500)
Rh (0.271, 0.570, 0.500)
Rh (0.430, 0.271, 0.500)
Rh (0.500, 0.000, 0.500)
Rh (0.570, 0.729, 0.500)
Rh (0.729, 0.430, 0.500)
Rh (0.771, 0.930, 0.500)
Rh (0.930, 0.229, 0.500)
Au (0.000, 0.000, 0.000)
Au (0.500, 0.500, 0.000)

Values from the calculation:
Calculated formation energy (eV/atom): -0.573
Space group: No. 127
Total magnetic moment (μB/cell): 0.00


[2]
# SrCa3Ag4

A relaxed structure of SrCa3Ag4 (GGA-PBE, Alexandria).

Unit cell a=10.640 b=7.576 c=5.319 alpha=90.00 beta=90.00 gamma=90.00
Fractional coordinates of all 16 atoms:
Sr (0.000, 0.000, 0.000)
Sr (0.500, 0.000, 0.000)
Ca (0.000, 0.500, 0.000)
Ca (0.250, 0.000, 0.500)
Ca (0.250, 0.500, 0.499)
Ca (0.500, 0.500, 0.000)
Ca (0.750, 0.000, 0.500)
Ca (0.750, 0.500, 0.501)
Ag (0.000, 0.264, 0.500)
Ag (0.000, 0.736, 0.500)
Ag (0.250, 0.264, 0.999)
Ag (0.250, 0.736, 0.999)
Ag (0.500, 0.264, 0.500)
Ag (0.500, 0.736, 0.500)
Ag (0.750, 0.264, 0.001)
Ag (0.750, 0.736, 0.001)

Values from the calculation:
Calculated formation energy (eV/atom): -0.294
Space group: No. 51
Excess energy over the best structure of this formula in the dataset (kJ/mol of formula units): 18
Total magnetic moment (μB/cell): 0.00


[3]
# Tm2SbIr

A relaxed structure of Tm2SbIr (GGA-PBE, Alexandria).

Unit cell a=5.431 b=5.431 c=5.431 alpha=52.27 beta=52.27 gamma=52.27
Fractional coordinates of all 4 atoms:
Tm (0.242, 0.242, 0.242)
Tm (0.758, 0.758, 0.758)
Sb (0.000, 0.000, 0.000)
Ir (0.500, 0.500, 0.500)

Values from the calculation:
Space group: No. 166
Excess energy over the best structure of this formula in the dataset (kJ/mol of formula units): 54
Formation energy (no corrections) (eV/atom): -0.676
Total magnetic moment (μB/cell): 0.00


[4]
# Pr3SmHg4

A relaxed structure of Pr3SmHg4 (GGA-PBE, Alexandria).

Unit cell a=3.846 b=3.846 c=15.412 alpha=90.00 beta=90.00 gamma=90.00
Fractional coordinates of all 8 atoms:
Pr (0.000, 0.000, 0.000)
Pr (0.000, 0.000, 0.253)
Pr (0.000, 0.000, 0.747)
Sm (0.000, 0.000, 0.500)
Hg (0.500, 0.500, 0.126)
Hg (0.500, 0.500, 0.381)
Hg (0.500, 0.500, 0.619)
Hg (0.500, 0.500, 0.874)

Values from the calculation:
Calculated formation energy (eV/atom): -0.472
Space group: No. 123
Total magnetic moment (μB/cell): 1.77


[5]
# Tb6Pm2DyMg

A relaxed structure of Tb6Pm2DyMg (GGA-PBE, Alexandria).

Unit cell a=8.660 b=8.660 c=9.612 alpha=94.62 beta=94.62 gamma=116.54
Fractional coordinates of all 20 atoms:
Tb (0.009, 0.571, 0.190)
Tb (0.123, 0.751, 0.553)
Tb (0.249, 0.877, 0.947)
Tb (0.297, 0.503, 0.385)
Tb (0.429, 0.991, 0.310)
Tb (0.497, 0.703, 0.115)
Tb (0.503, 0.297, 0.885)
Tb (0.571, 0.009, 0.690)
Tb (0.703, 0.497, 0.615)
Tb (0.751, 0.123, 0.053)
Tb (0.877, 0.249, 0.447)
Tb (0.991, 0.429, 0.810)
Pm (0.203, 0.300, 0.049)
Pm (0.300, 0.203, 0.549)
Pm (0.700, 0.797, 0.451)
Pm (0.797, 0.700, 0.951)
Dy (0.017, 0.983, 0.250)
Dy (0.983, 0.017, 0.750)
Mg (0.404, 0.596, 0.750)
Mg (0.596, 0.404, 0.250)

Values from the calculation:
Calculated formation energy (eV/atom): 0.114
Space group: No. 15
Total magnetic moment (μB/cell): 0.00


[6]
# KLiCu2F8

A relaxed structure of KLiCu2F8 (GGA-PBE, Alexandria).

Unit cell a=7.107 b=7.107 c=7.107 alpha=44.53 beta=44.53 gamma=44.53
Fractional coordinates of all 12 atoms:
K (0.000, 0.000, 0.000)
Li (0.500, 0.500, 0.500)
Cu (0.195, 0.195, 0.195)
Cu (0.805, 0.805, 0.805)
F (0.141, 0.822, 0.401)
F (0.178, 0.599, 0.859)
F (0.294, 0.294, 0.294)
F (0.401, 0.141, 0.822)
F (0.599, 0.859, 0.178)
F (0.706, 0.706, 0.706)
F (0.822, 0.401, 0.141)
F (0.859, 0.178, 0.599)

Values from the calculation:
Space group: No. 148
Formation energy (no corrections) (eV/atom): -1.734
Total magnetic moment (μB/cell): 4.00


[7]
# KZnBiO3

A relaxed structure of KZnBiO3 (GGA-PBE, Alexandria).

Unit cell a=7.176 b=3.499 c=9.513 alpha=90.00 beta=99.05 gamma=90.00
Fractional coordinates of all 12 atoms:
K (0.203, 0.250, 0.217)
K (0.797, 0.750, 0.783)
Zn (0.405, 0.750, 0.901)
Zn (0.595, 0.250, 0.099)
Bi (0.186, 0.250, 0.612)
Bi (0.814, 0.750, 0.388)
O (0.116, 0.750, 0.428)
O (0.166, 0.750, 0.766)
O (0.451, 0.750, 0.118)
O (0.549, 0.250, 0.882)
O (0.834, 0.250, 0.234)
O (0.884, 0.250, 0.572)

Values from the calculation:
Space group: No. 11
Formation energy (no corrections) (eV/atom): -1.348
Total magnetic moment (μB/cell): 0.00


[8]
# Tm2SO

A relaxed structure of Tm2SO (GGA-PBE, Alexandria).

Unit cell a=6.783 b=6.783 c=6.783 alpha=29.78 beta=29.78 gamma=29.78
Fractional coordinates of all 4 atoms:
Tm (0.000, 0.000, 0.000)
Tm (0.161, 0.161, 0.161)
S (0.581, 0.581, 0.581)
O (0.406, 0.406, 0.406)

Values from the calculation:
Space group: No. 160
Excess energy over the best structure of this formula in the dataset (kJ/mol of formula units): 51
Formation energy (no corrections) (eV/atom): -2.104
Total magnetic moment (μB/cell): 0.00


[9]
# Zr2InSi2Ru5

A relaxed structure of Zr2InSi2Ru5 (GGA-PBE, Alexandria).

Unit cell a=9.826 b=9.826 c=3.301 alpha=90.00 beta=90.00 gamma=90.00
Fractional coordinates of all 20 atoms:
Zr (0.174, 0.326, 0.000)
Zr (0.326, 0.826, 0.000)
Zr (0.674, 0.174, 0.000)
Zr (0.826, 0.674, 0.000)
In (0.000, 0.000, 0.000)
In (0.500, 0.500, 0.000)
Si (0.125, 0.625, 0.000)
Si (0.375, 0.125, 0.000)
Si (0.625, 0.875, 0.000)
Si (0.875, 0.375, 0.000)
Ru (0.000, 0.500, 0.500)
Ru (0.069, 0.786, 0.500)
Ru (0.214, 0.069, 0.500)
Ru (0.286, 0.569, 0.500)
Ru (0.431, 0.286, 0.500)
Ru (0.500, 0.000, 0.500)
Ru (0.569, 0.714, 0.500)
Ru (0.714, 0.431, 0.500)
Ru (0.786, 0.931, 0.500)
Ru (0.931, 0.214, 0.500)

Values from the calculation:
Space group: No. 127
Formation energy (no corrections) (eV/atom): -0.614
Total magnetic moment (μB/cell): 0.00


[10]
# ScTc2Sb

A relaxed structure of ScTc2Sb (GGA-PBE, Alexandria).

Unit cell a=5.921 b=5.921 c=5.921 alpha=104.05 beta=104.05 gamma=120.97
Fractional coordinates of all 8 atoms:
Sc (0.000, 0.000, 0.000)
Sc (0.750, 0.250, 0.500)
Tc (0.143, 0.625, 0.018)
Tc (0.375, 0.393, 0.518)
Tc (0.607, 0.125, 0.982)
Tc (0.875, 0.857, 0.482)
Sb (0.250, 0.750, 0.500)
Sb (0.500, 0.500, 0.000)

Values from the calculation:
Space group: No. 122
Formation energy (no corrections) (eV/atom): 0.598
Total magnetic moment (μB/cell): 3.22


[11]
# Ac4DySb5

A relaxed structure of Ac4DySb5 (GGA-PBE, Alexandria).

Unit cell a=8.177 b=8.177 c=8.177 alpha=99.66 beta=99.66 gamma=131.63
Fractional coordinates of all 10 atoms:
Ac (0.096, 0.700, 0.796)
Ac (0.300, 0.096, 0.396)
Ac (0.700, 0.904, 0.604)
Ac (0.904, 0.300, 0.204)
Dy (0.500, 0.500, 0.000)
Sb (0.000, 0.000, 0.000)
Sb (0.212, 0.404, 0.616)
Sb (0.404, 0.788, 0.191)
Sb (0.596, 0.212, 0.809)
Sb (0.788, 0.596, 0.384)

Values from the calculation:
Space group: No. 87
Formation energy (no corrections) (eV/atom): -1.170
Total magnetic moment (μB/cell): 0.00


[12]
# TlBi2O

A relaxed structure of TlBi2O (GGA-PBE, Alexandria).

Unit cell a=8.282 b=8.282 c=8.282 alpha=138.18 beta=138.18 gamma=60.63
Fractional coordinates of all 8 atoms:
Tl (0.000, 0.000, 0.000)
Tl (0.750, 0.250, 0.500)
Bi (0.278, 0.625, 0.153)
Bi (0.375, 0.528, 0.653)
Bi (0.472, 0.125, 0.847)
Bi (0.875, 0.722, 0.347)
O (0.250, 0.750, 0.500)
O (0.500, 0.500, 0.000)

Values from the calculation:
Space group: No. 122
Excess energy over the best structure of this formula in the dataset (kJ/mol of formula units): 0
Formation energy (no corrections) (eV/atom): -0.205
Total magnetic moment (μB/cell): 0.00


| no. | final energy (eV per atom) |
| --- | --- |
| 1 | -6.865 |
| 2 | -2.681 |
| 3 | -6.157 |
| 4 | -3.006 |
| 5 | -4.234 |
| 6 | -3.916 |
| 7 | -4.869 |
| 8 | -6.611 |
| 9 | -8.320 |
| 10 | -7.199 |
| 11 | -5.335 |
| 12 | -3.977 |